(1)
Here is LaMoP2S at its PBEsol-relaxed geometry from Alexandria via LeMat-Bulk. Energies are from SCAN.

Values from the calculation:
DOS(E_F)   3.08 states/eV/cell
Theoretical density   3.72 g/cm3
Formation energy without anion corrections   1056.1 meV/atom

Cell: 5.2827 5.2827 5.2580 Å, 90.00 90.00 90.00°
With the nearest neighbours (Å) after each atom.
Space group P4/mmm (No. 123)
Asymmetric unit:
La 0.0000 0.0000 0.0000 [1 per cell]  2 S 2.63, 4 P 2.64
Mo 0.5000 0.5000 0.5000 [1 per cell]  8 P 3.73, 4 S 3.74
P 0.0000 0.5000 0.0000 [2 per cell]  2 La 2.64
S 0.0000 0.0000 0.5000 [1 per cell]  2 La 2.63

***

(2)
Here is LaMo2Pb at its PBEsol-relaxed geometry from Alexandria via LeMat-Bulk. Energies are from SCAN.

Values from the calculation:
DOS(E_F)   3.25 states/eV/cell
Theoretical density   9.98 g/cm3
DFT formation energy   0.5578 eV per atom

Cell: 3.6718 3.6718 6.6420 Å, 90.00 90.00 90.00°
With the nearest neighbours (Å) after each atom.
Space group P4/mmm (No. 123)
Asymmetric unit:
La 0.0000 0.0000 0.0000 [1 per cell]  2 Pb 3.32, 8 Mo 3.35, 4 La 3.67
Mo 0.5000 0.5000 0.3187 [2 per cell]  1 Mo 2.41
Pb 0.0000 0.0000 0.5000 [1 per cell]  8 Mo 2.86

***

(3)
Here is LaMo12PbSe16 at its PBEsol-relaxed geometry from Alexandria via LeMat-Bulk. Energies are from SCAN.

Values from the calculation:
DOS(E_F)   45.24 states/eV/cell
Theoretical density   7.51 g/cm3
Formation energy without anion corrections   -693.9 meV/atom

Cell: 9.4039 9.4039 23.9265 Å, 90.00 90.00 120.00°
With the nearest neighbours (Å) after each atom.
Space group R-3 (No. 148, hexagonal axes)
Asymmetric unit:
La 0.0000 0.0000 0.0000 [3 per cell]  8 Se 2.89-3.13
Mo 0.0160 0.8445 0.2964 [18 per cell]  5 Se 2.50-2.72, 4 Mo 2.67-2.71
Mo 0.0156 0.8451 0.7967 [18 per cell]  5 Se 2.50-2.71, 4 Mo 2.66-2.71
Pb 0.0000 0.0000 0.5000 [3 per cell]  8 Se 2.91-3.13
Se 0.0000 0.0000 0.1210 [6 per cell]  3 Mo 2.50
Se 0.0000 0.0000 0.3784 [6 per cell]  3 Mo 2.50
Se 0.0013 0.3708 0.1250 [18 per cell]  4 Mo 2.55-2.71
Se 0.0033 0.3716 0.6239 [18 per cell]  4 Mo 2.55-2.72

***

(4)
Here is La3MoPd at its PBEsol-relaxed geometry from Alexandria via LeMat-Bulk. Energies are from SCAN.

Values from the calculation:
DOS(E_F)   7.91 states/eV/cell
Theoretical density   6.25 g/cm3
DFT formation energy   0.4463 eV per atom

Cell: 5.4804 5.4804 5.4804 Å, 90.00 90.00 90.00°
With the nearest neighbours (Å) after each atom.
Space group Pm-3m (No. 221)
Asymmetric unit:
La 0.0000 0.0000 0.5000 [3 per cell]  2 Pd 2.74
Mo 0.5000 0.5000 0.5000 [1 per cell]  12 La 3.88
Pd 0.0000 0.0000 0.0000 [1 per cell]  6 La 2.74

***

(5)
Here is LaMoPt4 at its PBEsol-relaxed geometry from Alexandria via LeMat-Bulk. Energies are from SCAN.

Values from the calculation:
DOS(E_F)   18.80 states/eV/cell
Theoretical density   15.71 g/cm3
DFT formation energy   -0.4736 eV per atom

Cell: 7.5435 7.5435 7.5435 Å, 90.00 90.00 90.00°
With the nearest neighbours (Å) after each atom.
Space group F-43m (No. 216)
Asymmetric unit:
La 0.0000 0.0000 0.0000 [4 per cell]  12 Pt 3.13, 4 Mo 3.27
Mo 0.2500 0.2500 0.7500 [4 per cell]  12 Pt 3.13, 4 La 3.27
Pt 0.1241 0.1241 0.3759 [16 per cell]  6 Pt 2.65-2.69

***

(6)
Here is La4MoPt at its PBEsol-relaxed geometry from Alexandria via LeMat-Bulk. Energies are from SCAN.

Values from the calculation:
DOS(E_F)   25.00 states/eV/cell
Theoretical density   9.18 g/cm3
DFT formation energy   0.7723 eV per atom

Cell: 8.4929 8.4929 8.4929 Å, 90.00 90.00 90.00°
With the nearest neighbours (Å) after each atom.
Space group F-43m (No. 216)
Asymmetric unit:
La 0.1251 0.1251 0.1251 [16 per cell]  6 La 3.00
Mo 0.0000 0.0000 0.5000 [4 per cell]  12 La 3.52, 4 Pt 3.68
Pt 0.2500 0.2500 0.7500 [4 per cell]  12 La 3.52, 4 Mo 3.68

***

Question: Number 1 is which compound?
Answer: LaMoP2S

***

What did the first record say?
Here is LaMoP2S at its PBEsol-relaxed geometry from Alexandria via LeMat-Bulk. Energies are from SCAN.

Values from the calculation:
DOS(E_F)   3.08 states/eV/cell
Theoretical density   3.72 g/cm3
Formation energy without anion corrections   1056.1 meV/atom

Cell: 5.2827 5.2827 5.2580 Å, 90.00 90.00 90.00°
With the nearest neighbours (Å) after each atom.
Space group P4/mmm (No. 123)
Asymmetric unit:
La 0.0000 0.0000 0.0000 [1 per cell]  2 S 2.63, 4 P 2.64
Mo 0.5000 0.5000 0.5000 [1 per cell]  8 P 3.73, 4 S 3.74
P 0.0000 0.5000 0.0000 [2 per cell]  2 La 2.64
S 0.0000 0.0000 0.5000 [1 per cell]  2 La 2.63

***

Question: Number 3 is which compound?
Answer: LaMo12PbSe16

***

Question: Which formula does entry 3 have?
Answer: LaMo12PbSe16